This record from Alexandria via LeMat-Bulk describes crystalline Ba2IrPdO6 at its relaxed geometry. The functional is PBE-GGA.

```
data_Ba2IrPdO6
_chemical_formula_sum 'Ba2 Ir1 Pd1 O6'
_space_group_name_H-M_alt 'P -3 m 1'
_space_group_IT_number 164
_space_group_name_Hall '-P 3 2"'
_cell_length_a 5.7782
_cell_length_b 5.7782
_cell_length_c 5.3715
_cell_angle_alpha 90.00
_cell_angle_beta 90.00
_cell_angle_gamma 120.00
loop_
_atom_site_label
_atom_site_type_symbol
_atom_site_fract_x
_atom_site_fract_y
_atom_site_fract_z
Ba1 Ba 0.3333 0.6667 0.2461
Ir1 Ir 0.0000 0.0000 0.5000
Pd1 Pd 0.0000 0.0000 0.0000
O1 O 0.1552 0.3105 0.7435
```

The crystal system is trigonal. As for the size of the total moment: 0.106 μB/atom. As for the total energy: -0.22902 Ha/atom. The calculation puts the density of states at the Fermi level at 0.682 states/eV/atom.

---

This record from Alexandria via LeMat-Bulk describes crystalline BaIrPdO6 at its relaxed geometry. The functional is PBE-GGA.

```
data_BaIrPdO6
_chemical_formula_sum 'Ba1 Ir1 Pd1 O6'
_space_group_name_H-M_alt 'P 3 1 2'
_space_group_IT_number 149
_space_group_name_Hall 'P 3 2'
_cell_length_a 5.3275
_cell_length_b 5.3275
_cell_length_c 5.7796
_cell_angle_alpha 90.00
_cell_angle_beta 90.00
_cell_angle_gamma 120.00
loop_
_atom_site_label
_atom_site_type_symbol
_atom_site_fract_x
_atom_site_fract_y
_atom_site_fract_z
Ba1 Ba 0.0000 0.0000 0.0000
Ir1 Ir 0.6667 0.3333 0.5000
Pd1 Pd 0.3333 0.6667 0.5000
O1 O 0.3809 0.0105 0.6878
```

The crystal system is trigonal. As for the size of the total moment: 0.323 μB/atom. As for the total energy: -0.22673 Ha/atom. The calculation puts the density of states at the Fermi level at 0.324 states/eV/atom.

---

This record from Alexandria via LeMat-Bulk describes crystalline BaIr2PdO8 at its relaxed geometry. The functional is PBE-GGA.

```
data_BaIr2PdO8
_chemical_formula_sum 'Ba2 Ir4 Pd2 O16'
_space_group_name_H-M_alt 'C 1 2/m 1'
_space_group_IT_number 12
_space_group_name_Hall '-C 2y'
_cell_length_a 7.7774
_cell_length_b 6.2434
_cell_length_c 8.1753
_cell_angle_alpha 90.00
_cell_angle_beta 97.62
_cell_angle_gamma 90.00
loop_
_atom_site_label
_atom_site_type_symbol
_atom_site_fract_x
_atom_site_fract_y
_atom_site_fract_z
Ba1 Ba 0.0000 0.0000 0.0000
Ir1 Ir 0.0451 0.5000 0.6953
Pd1 Pd 0.0000 0.0000 0.5000
O1 O 0.0157 0.2031 0.6980
O2 O 0.1474 0.5000 0.4932
O3 O 0.1565 0.5000 0.9082
```

The crystal system is monoclinic. As for the size of the total moment: 0.000 μB/atom. As for the total energy: -0.22798 Ha/atom. The calculation puts the density of states at the Fermi level at 0.310 states/eV/atom.

---

This record from Alexandria via LeMat-Bulk describes crystalline BaPmIr2O8 at its relaxed geometry. The functional is PBE-GGA.

```
data_BaPmIr2O8
_chemical_formula_sum 'Ba1 Pm1 Ir2 O8'
_space_group_name_H-M_alt 'P -3'
_space_group_IT_number 147
_space_group_name_Hall '-P 3'
_cell_length_a 5.9803
_cell_length_b 5.9803
_cell_length_c 7.7715
_cell_angle_alpha 90.00
_cell_angle_beta 90.00
_cell_angle_gamma 120.00
loop_
_atom_site_label
_atom_site_type_symbol
_atom_site_fract_x
_atom_site_fract_y
_atom_site_fract_z
Ba1 Ba 0.0000 0.0000 0.0000
Pm1 Pm 0.0000 0.0000 0.5000
Ir1 Ir 0.3333 0.6667 0.7812
O1 O 0.1614 0.3267 0.7044
O2 O 0.3333 0.6667 0.0154
```

The crystal system is trigonal. As for the size of the total moment: 0.083 μB/atom. As for the total energy: -0.24560 Ha/atom. The calculation puts the density of states at the Fermi level at 0.958 states/eV/atom.

---

This record from Alexandria via LeMat-Bulk describes crystalline BaPrIrO6 at its relaxed geometry. The functional is PBE-GGA.

```
data_BaPrIrO6
_chemical_formula_sum 'Ba1 Pr1 Ir1 O6'
_space_group_name_H-M_alt 'P 3 1 2'
_space_group_IT_number 149
_space_group_name_Hall 'P 3 2'
_cell_length_a 5.7972
_cell_length_b 5.7972
_cell_length_c 5.5479
_cell_angle_alpha 90.00
_cell_angle_beta 90.00
_cell_angle_gamma 120.00
loop_
_atom_site_label
_atom_site_type_symbol
_atom_site_fract_x
_atom_site_fract_y
_atom_site_fract_z
Ba1 Ba 0.0000 0.0000 0.0000
Pr1 Pr 0.3333 0.6667 0.5000
Ir1 Ir 0.6667 0.3333 0.5000
O1 O 0.3983 0.0559 0.6994
```

The crystal system is trigonal. As for the size of the total moment: 0.225 μB/atom. As for the total energy: -0.25147 Ha/atom. The calculation puts the density of states at the Fermi level at 0.664 states/eV/atom.

---

This record from Alexandria via LeMat-Bulk describes crystalline BaPr2IrO8 at its relaxed geometry. The functional is PBE-GGA.

```
data_BaPr2IrO8
_chemical_formula_sum 'Ba1 Pr2 Ir1 O8'
_space_group_name_H-M_alt 'P -1'
_space_group_IT_number 2
_space_group_name_Hall '-P 1'
_cell_length_a 4.3616
_cell_length_b 5.4397
_cell_length_c 7.2592
_cell_angle_alpha 90.04
_cell_angle_beta 106.88
_cell_angle_gamma 90.01
loop_
_atom_site_label
_atom_site_type_symbol
_atom_site_fract_x
_atom_site_fract_y
_atom_site_fract_z
Ba1 Ba 0.0000 0.0000 0.0000
Pr1 Pr 0.3357 0.4994 0.6989
Ir1 Ir 0.5000 0.0000 0.5000
O1 O 0.1707 0.5000 0.0003
O2 O 0.2052 0.2670 0.3860
O3 O 0.2060 0.7312 0.3873
O4 O 0.3889 0.0016 0.7441
```

The crystal system is triclinic. As for the size of the total moment: 0.214 μB/atom. As for the total energy: -0.25957 Ha/atom. The calculation puts the density of states at the Fermi level at 0.334 states/eV/atom.

---

This record from Alexandria via LeMat-Bulk describes crystalline Ba10Pr5IrRu4O30 at its relaxed geometry. The functional is PBE-GGA.

```
data_Ba10Pr5IrRu4O30
_chemical_formula_sum 'Ba30 Pr15 Ir3 Ru12 O90'
_space_group_name_H-M_alt 'R -3 m'
_space_group_IT_number 166
_space_group_name_Hall '-R 3 2"'
_cell_length_a 6.1013
_cell_length_b 6.1013
_cell_length_c 74.7171
_cell_angle_alpha 90.00
_cell_angle_beta 90.00
_cell_angle_gamma 120.00
loop_
_atom_site_label
_atom_site_type_symbol
_atom_site_fract_x
_atom_site_fract_y
_atom_site_fract_z
Ba1 Ba 0.0000 0.0000 0.0499
Ba2 Ba 0.0000 0.0000 0.1497
Ba3 Ba 0.0000 0.0000 0.2503
Ba4 Ba 0.0000 0.0000 0.3500
Ba5 Ba 0.0000 0.0000 0.4495
Pr1 Pr 0.0000 0.0000 0.0000
Pr2 Pr 0.0000 0.0000 0.2000
Pr3 Pr 0.0000 0.0000 0.3999
Ir1 Ir 0.0000 0.0000 0.5000
Ru1 Ru 0.0000 0.0000 0.1001
Ru2 Ru 0.0000 0.0000 0.3000
O1 O 0.0269 0.5135 0.7515
O2 O 0.0272 0.5136 0.1514
O3 O 0.0271 0.5135 0.3514
O4 O 0.0275 0.5137 0.9513
O5 O 0.0279 0.5139 0.5512
```

The crystal system is trigonal. As for the size of the total moment: 0.195 μB/atom. As for the total energy: -0.25947 Ha/atom. The calculation puts the density of states at the Fermi level at 0.100 states/eV/atom.

---

This record from Alexandria via LeMat-Bulk describes crystalline Ba2IrPt3O12 at its relaxed geometry. The functional is PBE-GGA.

```
data_Ba2IrPt3O12
_chemical_formula_sum 'Ba6 Ir3 Pt9 O36'
_space_group_name_H-M_alt 'R -3 m'
_space_group_IT_number 166
_space_group_name_Hall '-R 3 2"'
_cell_length_a 7.1491
_cell_length_b 7.1491
_cell_length_c 17.5592
_cell_angle_alpha 90.00
_cell_angle_beta 90.00
_cell_angle_gamma 120.00
loop_
_atom_site_label
_atom_site_type_symbol
_atom_site_fract_x
_atom_site_fract_y
_atom_site_fract_z
Ba1 Ba 0.0000 0.0000 0.1454
Ir1 Ir 0.0000 0.0000 0.5000
Pt1 Pt 0.0000 0.5000 0.0000
O1 O 0.0644 0.5322 0.3712
O2 O 0.0678 0.5339 0.1102
```

The crystal system is trigonal. As for the size of the total moment: 0.004 μB/atom. As for the total energy: -0.22341 Ha/atom. The calculation puts the density of states at the Fermi level at 0.479 states/eV/atom.

---

Calculated uncorrected formation energy (eV/atom), listed in the same order as above: -1.467, -1.089, -0.828, -1.345, -1.808, -2.063, -2.304, -1.061